# 1
Entry from OQMD via LeMat-Bulk: crystalline NaZrAgS3 at its relaxed geometry (PBE).

* crystal system: orthorhombic

Cell lengths 7.342, 3.938, 16.558 Å; angles 90.00, 90.00, 90.00 degrees
Space group Pnma (No. 62)
Unique sites:
1 Na 0.101 0.250 0.188 x4
2 Zr 0.243 0.250 0.957 x4
3 Ag 0.046 0.250 0.674 x4
4 S 0.010 0.250 0.427 x4
5 S 0.127 0.750 0.050 x4
6 S 0.193 0.250 0.806 x4

# 2
Entry from OQMD via LeMat-Bulk: crystalline B4IrAu at its relaxed geometry (PBE).

* crystal system: orthorhombic

Cell lengths 2.836, 5.516, 7.682 Å; angles 90.00, 90.00, 90.00 degrees
Space group Immm (No. 71)
Unique sites:
1 B 0.000 0.152 0.242 x8
2 Ir 0.000 0.500 0.500 x2
3 Au 0.000 0.500 0.000 x2

# 3
Entry from OQMD via LeMat-Bulk: crystalline SiGe3Ir4 at its relaxed geometry (PBE).

* crystal system: monoclinic

Cell lengths 5.621, 3.491, 6.355 Å; angles 90.00, 90.02, 90.00 degrees
Space group Pm (No. 6)
Unique sites:
1 Si 0.000 0.000 0.000 x1
2 Ge 0.377 0.500 0.144 x1
3 Ge 0.496 0.000 0.645 x1
4 Ge 0.878 0.500 0.499 x1
5 Ir 0.183 0.000 0.362 x1
6 Ir 0.186 0.500 0.788 x1
7 Ir 0.689 0.000 0.270 x1
8 Ir 0.697 0.500 0.870 x1

# 4
Entry from OQMD via LeMat-Bulk: crystalline DyHoAsO at its relaxed geometry (PBE).

* crystal system: tetragonal

Cell lengths 4.323, 4.323, 8.749 Å; angles 90.00, 90.00, 90.00 degrees
Space group P4/nmm (No. 129, origin choice 2)
Unique sites:
1 Dy 0.250 0.250 0.100 x2
2 Ho 0.250 0.750 0.500 x2
3 As 0.250 0.250 0.705 x2
4 O 0.250 0.750 0.000 x2

# 5
Entry from OQMD via LeMat-Bulk: crystalline SmYFe2Sn at its relaxed geometry (PBE).

* crystal system: orthorhombic

Cell lengths 3.878, 3.892, 14.020 Å; angles 90.00, 90.00, 90.00 degrees
Space group Amm2 (No. 38)
Unique sites:
1 Sm 0.000 0.000 0.000 x2
2 Y 0.000 0.000 0.268 x2
3 Fe 0.500 0.000 0.430 x2
4 Fe 0.500 0.000 0.837 x2
5 Sn 0.500 0.000 0.636 x2

# 6
Entry from OQMD via LeMat-Bulk: crystalline Ta7Fe3B8 at its relaxed geometry (PBE).

* crystal system: hexagonal

Cell lengths 8.3036, 8.3036, 3.3006 Å; angles 90.00, 90.00, 120.00 degrees
Space group P6/mmm (No. 191)
Unique sites:
1 Ta 0.0000 0.0000 0.0000 x1
2 Ta 0.2124 0.4248 0.0000 x6
3 Fe 0.0000 0.5000 0.5000 x3
4 B 0.0000 0.2195 0.5000 x6
5 B 0.3333 0.6667 0.5000 x2

Number 1: uncorrected energy -124.730 eV per cell. Number 2: uncorrected energy -69.451 eV per cell. Number 3: uncorrected energy -57.927 eV per cell. Number 4: uncorrected energy -52.719 eV per cell. Number 5: uncorrected energy -66.202 eV per cell. Number 6: uncorrected energy -173.929 eV per cell.